Version A
BaAgIr (GGA-PBE, relaxed); space-group type = No. 216; magnetic moment = 0.00 Bohr magnetons per cell
1.0
4.345 -2.175 1.217
2.773 1.860 3.735
0.418 -2.524 4.307
Ir Ag Ba
1 1 1
Cartesian
5.652 -2.130 6.944
1.884 -0.710 2.315
0.000 0.000 0.000

---

Version B
BaAgIr (GGA-PBE, relaxed); space-group type = No. 216; magnetic moment = 0.00 Bohr magnetons per cell
1.0
0.000 3.462 3.462
3.462 0.000 3.462
3.462 3.462 0.000
Ir Ag Ba
1 1 1
Cartesian
0.000 0.000 0.000
1.731 1.731 1.731
5.193 5.193 5.193

---

Tell me which of them is the least stable. Sure, it is version A.

---

Version A
BaNbAg (GGA-PBE, relaxed); space-group type = No. 216; magnetic moment = 4.26 Bohr magnetons per cell
1.0
2.466 2.854 3.746
-2.599 3.898 2.513
-1.362 -0.575 5.107
Nb Ag Ba
1 1 1
Cartesian
-1.121 4.633 8.525
-0.374 1.544 2.842
0.000 0.000 0.000

---

Version B
BaNbAg (GGA-PBE, relaxed); space-group type = No. 216; magnetic moment = 2.55 Bohr magnetons per cell
1.0
0.000 3.552 3.552
3.552 0.000 3.552
3.552 3.552 0.000
Ag Nb Ba
1 1 1
Cartesian
1.776 1.776 1.776
0.000 0.000 0.000
5.327 5.327 5.327

---

Tell me which of them is the least stable. Sure, it is version A.

---

Version A
Ba2ZnAg2Se2O2 (GGA-PBE, relaxed); space-group type = No. 64
1.0
0.000 6.102 0.000
0.000 0.000 6.103
10.021 -3.051 0.000
Ag O Ba Se Zn
4 4 4 4 2
Cartesian
5.011 4.565 1.526
5.011 -1.514 4.577
5.011 1.536 4.577
5.011 1.514 1.526
0.000 1.329 1.325
0.000 4.380 1.727
0.000 1.722 4.376
0.000 4.773 4.778
1.769 0.000 3.052
1.769 3.051 0.000
8.252 3.051 3.052
8.252 0.000 0.000
3.264 3.051 3.052
3.264 0.000 0.000
6.757 3.051 0.000
6.757 0.000 3.052
0.000 3.051 3.052
0.000 0.000 0.000

---

Version B
Ba2ZnAg2Se2O2 (GGA-PBE, relaxed); space-group type = No. 139
1.0
-2.916 -9.314 3.814
-0.632 2.554 3.363
-3.636 1.402 -1.748
Ba O Ag Se Zn
2 2 2 2 1
Cartesian
-6.293 -4.063 4.615
-0.891 -1.294 0.815
-0.316 1.277 1.682
-1.818 0.701 -0.874
-4.343 -2.967 1.437
-2.841 -2.391 3.993
-3.410 -4.954 3.121
-3.773 -0.404 2.309
-2.134 1.978 0.808

---

Tell me which of them is the least stable. Sure, it is version B.

---

Version A
Ba2AgOsS6 (GGA-PBE, relaxed); space-group type = No. 225; magnetic moment = 1.23 Bohr magnetons per cell
1.0
-5.385 3.702 2.315
0.118 -2.212 -6.569
0.940 -6.504 2.207
S Ba Ag Os
6 2 1 1
Cartesian
0.255 -2.100 -1.051
-2.340 -0.316 0.065
0.742 -5.470 0.093
0.803 -6.616 -3.311
-1.987 -4.698 -2.112
0.316 -3.246 -4.455
-1.958 -3.580 1.170
-2.369 -1.434 -3.218
0.529 -4.358 -2.181
0.000 0.000 0.000

---

Version B
Ba2AgOsS6 (GGA-PBE, relaxed); space-group type = No. 146; magnetic moment = 0.65 Bohr magnetons per cell
1.0
-3.882 -2.352 -5.102
-2.747 -6.218 0.648
-6.736 -0.453 1.025
S Ag Ba Os
6 1 2 1
Cartesian
-4.890 -5.398 -0.375
-6.858 -2.428 -0.523
-8.424 -4.033 -3.117
-6.814 -6.605 -2.625
-5.269 -3.662 -3.468
-8.316 -5.264 -0.302
-12.986 -8.767 -3.332
-3.401 -2.296 -0.873
-10.082 -6.806 -2.587
-6.412 -4.329 -1.645

---

Tell me which of them is the least stable. Sure, it is version A.